1.
Entry from Alexandria via LeMat-Bulk: a geometry-optimized Er2MnGa structure (PBE).

CIF file:
```
data_Er2MnGa
_chemical_formula_sum 'Er6 Mn3 Ga3'
_cell_length_a 3.3141
_cell_length_b 3.3141
_cell_length_c 30.6399
_cell_angle_alpha 90.00
_cell_angle_beta 90.00
_cell_angle_gamma 120.00
_symmetry_space_group_name_H-M 'R -3 m'
_symmetry_Int_Tables_number 166
_symmetry_space_group_name_Hall '-R 3 2"'
loop_
_atom_site_label
_atom_site_fract_x
_atom_site_fract_y
_atom_site_fract_z
Er1 0.0000 0.0000 0.0920
Mn1 0.0000 0.0000 0.0000
Ga1 0.0000 0.0000 0.5000
```

The calculation puts the uncorrected energy at -60.14 eV for the cell shown. For the calculated formation energy, the calculation gives 1.28 eV per formula unit. The calculation puts the energy above the most stable polymorph in this dataset at 535 meV per atom. The calculation puts the calculated volume at 24.286 A^3/atom.

2.
Entry from Alexandria via LeMat-Bulk: a geometry-optimized La2Y5Ho6 structure (PBE).

CIF file:
```
data_La2Y5Ho6
_chemical_formula_sum 'La4 Y10 Ho12'
_cell_length_a 11.716
_cell_length_b 20.378
_cell_length_c 3.600
_cell_angle_alpha 90.00
_cell_angle_beta 90.00
_cell_angle_gamma 90.00
_symmetry_space_group_name_H-M 'P b a m'
_symmetry_Int_Tables_number 55
_symmetry_space_group_name_Hall '-P 2 2ab'
loop_
_atom_site_label
_atom_site_fract_x
_atom_site_fract_y
_atom_site_fract_z
La1 0.171 0.222 0.000
Y1 0.000 0.500 0.500
Y2 0.091 0.783 0.500
Y3 0.199 0.056 0.500
Ho1 0.063 0.927 0.000
Ho2 0.074 0.639 0.000
Ho3 0.181 0.378 0.500
```

The calculation puts the uncorrected energy at -136.58 eV for the cell shown. For the calculated formation energy, the calculation gives 1.35 eV per formula unit. The calculation puts the calculated volume at 33.055 A^3/atom.

3.
Entry from Alexandria via LeMat-Bulk: a geometry-optimized LiTeOs2W structure (PBE).

CIF file:
```
data_LiTeOs2W
_chemical_formula_sum 'Li1 Te1 Os2 W1'
_cell_length_a 4.253
_cell_length_b 4.253
_cell_length_c 4.345
_cell_angle_alpha 90.00
_cell_angle_beta 90.00
_cell_angle_gamma 90.00
_symmetry_space_group_name_H-M 'P 4/m m m'
_symmetry_Int_Tables_number 123
_symmetry_space_group_name_Hall '-P 4 2'
loop_
_atom_site_label
_atom_site_fract_x
_atom_site_fract_y
_atom_site_fract_z
Li1 0.000 0.000 0.000
Te1 0.500 0.500 0.500
Os1 0.000 0.500 0.000
W1 0.000 0.000 0.500
```

The calculation puts the uncorrected energy at -32.54 eV for the cell shown. The calculation puts the calculated volume at 15.722 A^3/atom. Its uncorrected formation energy is 1.586 eV per atom.

4.
Entry from Alexandria via LeMat-Bulk: a geometry-optimized Ag2SbSe structure (PBE).

CIF file:
```
data_Ag2SbSe
_chemical_formula_sum 'Ag4 Sb2 Se2'
_cell_length_a 3.618
_cell_length_b 5.074
_cell_length_c 9.404
_cell_angle_alpha 90.00
_cell_angle_beta 90.00
_cell_angle_gamma 90.00
_symmetry_space_group_name_H-M 'I m m m'
_symmetry_Int_Tables_number 71
_symmetry_space_group_name_Hall '-I 2 2'
loop_
_atom_site_label
_atom_site_fract_x
_atom_site_fract_y
_atom_site_fract_z
Ag1 0.000 0.000 0.244
Sb1 0.000 0.500 0.000
Se1 0.000 0.500 0.500
```

The calculation puts the uncorrected energy at -25.43 eV for the cell shown. The calculation puts the calculated volume at 21.577 A^3/atom. Its uncorrected formation energy is 0.148 eV per atom.

5.
Entry from Alexandria via LeMat-Bulk: a geometry-optimized CeHoO4 structure (PBE).

CIF file:
```
data_CeHoO4
_chemical_formula_sum 'Ce1 Ho1 O4'
_cell_length_a 3.680
_cell_length_b 3.680
_cell_length_c 6.089
_cell_angle_alpha 90.00
_cell_angle_beta 90.00
_cell_angle_gamma 90.00
_symmetry_space_group_name_H-M 'P 4/m m m'
_symmetry_Int_Tables_number 123
_symmetry_space_group_name_Hall '-P 4 2'
loop_
_atom_site_label
_atom_site_fract_x
_atom_site_fract_y
_atom_site_fract_z
Ce1 0.000 0.000 0.000
Ho1 0.000 0.000 0.500
O1 0.000 0.500 0.248
```

The calculation puts the uncorrected energy at -46.62 eV for the cell shown. The calculation puts the calculated volume at 13.743 A^3/atom. Its uncorrected formation energy is -2.712 eV per atom.

6.
Entry from Alexandria via LeMat-Bulk: a geometry-optimized Ba2Sc2O5 structure (PBE).

CIF file:
```
data_Ba2Sc2O5
_chemical_formula_sum 'Ba2 Sc2 O5'
_cell_length_a 4.181
_cell_length_b 4.181
_cell_length_c 8.325
_cell_angle_alpha 90.00
_cell_angle_beta 90.00
_cell_angle_gamma 90.00
_symmetry_space_group_name_H-M 'P 4/m m m'
_symmetry_Int_Tables_number 123
_symmetry_space_group_name_Hall '-P 4 2'
loop_
_atom_site_label
_atom_site_fract_x
_atom_site_fract_y
_atom_site_fract_z
Ba1 0.000 0.000 0.000
Ba2 0.000 0.000 0.500
Sc1 0.500 0.500 0.238
O1 0.000 0.500 0.279
O2 0.500 0.500 0.000
```

The calculation puts the uncorrected energy at -69.13 eV for the cell shown. The calculation puts the calculated volume at 16.169 A^3/atom. Its uncorrected formation energy is -3.092 eV per atom.

7.
Entry from Alexandria via LeMat-Bulk: a geometry-optimized AlAuCl structure (PBE).

CIF file:
```
data_AlAuCl
_chemical_formula_sum 'Al1 Au1 Cl1'
_cell_length_a 3.6099
_cell_length_b 3.6099
_cell_length_c 6.0216
_cell_angle_alpha 90.00
_cell_angle_beta 90.00
_cell_angle_gamma 120.00
_symmetry_space_group_name_H-M 'P 3 m 1'
_symmetry_Int_Tables_number 156
_symmetry_space_group_name_Hall 'P 3 -2"'
loop_
_atom_site_label
_atom_site_fract_x
_atom_site_fract_y
_atom_site_fract_z
Al1 0.0000 0.0000 0.0000
Au1 0.3333 0.6667 0.2256
Cl1 0.6667 0.3333 0.7300
```

The calculation puts the uncorrected energy at -10.29 eV for the cell shown. The calculation puts the energy above the most stable polymorph in this dataset at 0 meV per atom. The calculation puts the calculated volume at 22.652 A^3/atom. Its uncorrected formation energy is -0.474 eV per atom.

8.
Entry from Alexandria via LeMat-Bulk: a geometry-optimized CsBaS4 structure (PBE).

CIF file:
```
data_CsBaS4
_chemical_formula_sum 'Cs4 Ba4 S16'
_cell_length_a 8.102
_cell_length_b 8.102
_cell_length_c 13.123
_cell_angle_alpha 90.00
_cell_angle_beta 90.00
_cell_angle_gamma 90.00
_symmetry_space_group_name_H-M 'I 41/a'
_symmetry_Int_Tables_number 88
loop_
_symmetry_equiv_pos_as_xyz
'x,y,z'
'-x,-y,-z'
'-y+3/4,x+1/4,z+1/4'
'y+3/4,-x+1/4,-z+1/4'
'-x+1/2,-y,z+1/2'
'x+1/2,y,-z+1/2'
'y+3/4,-x+3/4,z+3/4'
'-y+3/4,x+3/4,-z+3/4'
'x+1/2,y+1/2,z+1/2'
'-x+1/2,-y+1/2,-z+1/2'
'-y+1/4,x+3/4,z+3/4'
'y+1/4,-x+3/4,-z+3/4'
'-x,-y+1/2,z'
'x,y+1/2,-z'
'y+1/4,-x+1/4,z+1/4'
'-y+1/4,x+1/4,-z+1/4'
loop_
_atom_site_label
_atom_site_fract_x
_atom_site_fract_y
_atom_site_fract_z
Cs1 0.000 0.250 0.125
Ba1 0.000 0.250 0.625
S1 0.079 0.349 0.393
```

The calculation puts the uncorrected energy at -99.50 eV for the cell shown. The calculation puts the calculated volume at 35.896 A^3/atom. Its uncorrected formation energy is -0.931 eV per atom.

9.
Entry from Alexandria via LeMat-Bulk: a geometry-optimized AcLa6Pr12 structure (PBE).

CIF file:
```
data_AcLa6Pr12
_chemical_formula_sum 'Ac3 La18 Pr36'
_cell_length_a 12.5486
_cell_length_b 12.5486
_cell_length_c 15.6112
_cell_angle_alpha 90.00
_cell_angle_beta 90.00
_cell_angle_gamma 120.00
_symmetry_space_group_name_H-M 'R -3'
_symmetry_Int_Tables_number 148
_symmetry_space_group_name_Hall '-R 3'
loop_
_atom_site_label
_atom_site_fract_x
_atom_site_fract_y
_atom_site_fract_z
Ac1 0.0000 0.0000 0.0000
La1 0.0095 0.4198 0.6849
Pr1 0.0001 0.1725 0.8089
Pr2 0.0481 0.8517 0.4174
```

The calculation puts the uncorrected energy at -266.66 eV for the cell shown. For the calculated formation energy, the calculation gives 2.14 eV per formula unit. The calculation puts the energy above the most stable polymorph in this dataset at 0 meV per atom. The calculation puts the calculated volume at 37.349 A^3/atom.

10.
Entry from Alexandria via LeMat-Bulk: a geometry-optimized MgP2 structure (PBE).

CIF file:
```
data_MgP2
_chemical_formula_sum 'Mg4 P8'
_cell_length_a 3.766
_cell_length_b 17.033
_cell_length_c 3.260
_cell_angle_alpha 90.00
_cell_angle_beta 90.00
_cell_angle_gamma 90.00
_symmetry_space_group_name_H-M 'C m c m'
_symmetry_Int_Tables_number 63
_symmetry_space_group_name_Hall '-C 2c 2'
loop_
_atom_site_label
_atom_site_fract_x
_atom_site_fract_y
_atom_site_fract_z
Mg1 0.000 0.125 0.250
P1 0.000 0.255 0.750
P2 0.000 0.454 0.250
```

The calculation puts the uncorrected energy at -51.22 eV for the cell shown. For the calculated formation energy, the calculation gives -0.39 eV per formula unit. The calculation puts the calculated volume at 17.426 A^3/atom.

11.
Entry from Alexandria via LeMat-Bulk: a geometry-optimized ZnBiSe3 structure (PBE).

CIF file:
```
data_ZnBiSe3
_chemical_formula_sum 'Zn1 Bi1 Se3'
_cell_length_a 5.503
_cell_length_b 5.503
_cell_length_c 5.503
_cell_angle_alpha 90.00
_cell_angle_beta 90.00
_cell_angle_gamma 90.00
_symmetry_space_group_name_H-M 'P m -3 m'
_symmetry_Int_Tables_number 221
_symmetry_space_group_name_Hall '-P 4 2 3'
loop_
_atom_site_label
_atom_site_fract_x
_atom_site_fract_y
_atom_site_fract_z
Zn1 0.000 0.000 0.000
Bi1 0.500 0.500 0.500
Se1 0.000 0.500 0.500
```

The calculation puts the uncorrected energy at -12.83 eV for the cell shown. The calculation puts the energy above the most stable polymorph in this dataset at 852 meV per atom. The calculation puts the calculated volume at 33.333 A^3/atom. Its uncorrected formation energy is 0.555 eV per atom.

12.
Entry from Alexandria via LeMat-Bulk: a geometry-optimized OsC2F structure (PBE).

CIF file:
```
data_OsC2F
_chemical_formula_sum 'Os4 C8 F4'
_cell_length_a 5.297
_cell_length_b 5.297
_cell_length_c 5.297
_cell_angle_alpha 90.00
_cell_angle_beta 90.00
_cell_angle_gamma 90.00
_symmetry_space_group_name_H-M 'F m -3 m'
_symmetry_Int_Tables_number 225
_symmetry_space_group_name_Hall '-F 4 2 3'
loop_
_atom_site_label
_atom_site_fract_x
_atom_site_fract_y
_atom_site_fract_z
Os1 0.000 0.000 0.000
C1 0.250 0.250 0.250
F1 0.000 0.000 0.500
```

The calculation puts the uncorrected energy at -92.39 eV for the cell shown. The calculation puts the energy above the most stable polymorph in this dataset at 1072 meV per atom. The calculation puts the calculated volume at 9.288 A^3/atom. Its uncorrected formation energy is 2.113 eV per atom.

13.
Entry from Alexandria via LeMat-Bulk: a geometry-optimized SrFeMo2 structure (PBE).

CIF file:
```
data_SrFeMo2
_chemical_formula_sum 'Sr1 Fe1 Mo2'
_cell_length_a 4.940
_cell_length_b 4.940
_cell_length_c 2.932
_cell_angle_alpha 90.00
_cell_angle_beta 90.00
_cell_angle_gamma 90.00
_symmetry_space_group_name_H-M 'P 4/m m m'
_symmetry_Int_Tables_number 123
_symmetry_space_group_name_Hall '-P 4 2'
loop_
_atom_site_label
_atom_site_fract_x
_atom_site_fract_y
_atom_site_fract_z
Sr1 0.000 0.000 0.000
Fe1 0.500 0.500 0.000
Mo1 0.000 0.500 0.500
```

The calculation puts the uncorrected energy at -26.30 eV for the cell shown. For the calculated formation energy, the calculation gives 5.50 eV per formula unit. The calculation puts the energy above the most stable polymorph in this dataset at 766 meV per atom. The calculation puts the calculated volume at 17.887 A^3/atom.

14.
Entry from Alexandria via LeMat-Bulk: a geometry-optimized Mn2NiGe structure (PBE).

CIF file:
```
data_Mn2NiGe
_chemical_formula_sum 'Mn2 Ni1 Ge1'
_cell_length_a 3.662
_cell_length_b 3.662
_cell_length_c 3.689
_cell_angle_alpha 90.00
_cell_angle_beta 90.00
_cell_angle_gamma 90.00
_symmetry_space_group_name_H-M 'P 4/m m m'
_symmetry_Int_Tables_number 123
_symmetry_space_group_name_Hall '-P 4 2'
loop_
_atom_site_label
_atom_site_fract_x
_atom_site_fract_y
_atom_site_fract_z
Mn1 0.000 0.500 0.000
Ni1 0.000 0.000 0.500
Ge1 0.500 0.500 0.500
```

The calculation puts the uncorrected energy at -29.23 eV for the cell shown. For the calculated formation energy, the calculation gives -0.50 eV per formula unit. The calculation puts the calculated volume at 12.367 A^3/atom.